# Li3NiO6

Li3NiO6 after structural relaxation (GGA+U, the Alexandria database).

Summary:
As for the total energy: -42.517 eV/f.u. The total magnetization is 0.10 μB/atom.

a = 7.468 Å, b = 7.468 Å, c = 7.129 Å
α = 90.00°, β = 90.00°, γ = 117.83°
Fractional coordinates of all 10 atoms:
Li1 0.000 0.000 0.000
Li2 0.000 0.500 0.500
Li3 0.500 0.000 0.500
Ni1 0.000 0.000 0.500
O1 0.000 0.000 0.251
O2 0.000 0.000 0.749
O3 0.051 0.763 0.500
O4 0.237 0.949 0.500
O5 0.763 0.051 0.500
O6 0.949 0.237 0.500